Run i
{
  "formula": "TlHN2",
  "functional": "PBE-GGA",
  "state": "relaxed",
  "crystal_system": "trigonal",
  "dos_ef_per_ev_fu": 1.67,
  "lattice_angstrom": [[2.0660, 0.0000, 4.6092], [-1.0330, 1.7892, 4.6092], [-1.0330, -1.7892, 4.6092]],
  "species": ["H", "Tl", "N", "N"],
  "frac_coords": [[0.0000, 0.0000, 0.0000], [0.5000, 0.5000, 0.5000], [0.9107, 0.9107, 0.9107], [0.0893, 0.0893, 0.0893]]
}

Run ii
{
  "formula": "TlHN2",
  "functional": "PBE-GGA",
  "state": "relaxed",
  "crystal_system": "trigonal",
  "dos_ef_per_ev_fu": 1.17,
  "lattice_angstrom": [[-3.6528, -2.7826, 4.2538], [-4.2826, -4.2583, 1.6453], [-1.8044, -5.0197, 3.2754]],
  "species": ["H", "Tl", "N", "N"],
  "frac_coords": [[0.5000, 0.5000, 0.5000], [0.0000, 0.0000, 0.0000], [0.8497, 0.8497, 0.8497], [0.1503, 0.1503, 0.1503]]
}

Run iii
{
  "formula": "TlHN2",
  "functional": "PBE-GGA",
  "state": "relaxed",
  "crystal_system": "cubic",
  "dos_ef_per_ev_fu": 0.27,
  "lattice_angstrom": [[0.0000, 2.8091, 2.8091], [2.8091, 0.0000, 2.8091], [2.8091, 2.8091, 0.0000]],
  "species": ["H", "Tl", "N", "N"],
  "frac_coords": [[0.0000, 0.0000, 0.0000], [0.5000, 0.5000, 0.5000], [0.2500, 0.2500, 0.2500], [0.7500, 0.7500, 0.7500]]
}

Run iv
{
  "formula": "TlHN2",
  "functional": "PBE-GGA",
  "state": "relaxed",
  "crystal_system": "tetragonal",
  "dos_ef_per_ev_fu": 1.05,
  "lattice_angstrom": [[3.9763, 0.0000, 0.0000], [0.0000, 3.9763, 0.0000], [1.9882, 1.9882, 5.3665]],
  "species": ["H", "H", "Tl", "Tl", "N", "N", "N", "N"],
  "frac_coords": [[0.5000, 0.5000, 0.0000], [0.2500, 0.7500, 0.5000], [0.0000, 0.0000, 0.0000], [0.7500, 0.2500, 0.5000], [0.4607, 0.1250, 0.2500], [0.2893, 0.6250, 0.2500], [0.3750, 0.5393, 0.7500], [0.8750, 0.7107, 0.7500]]
}

Energies relative to the most stable structure are run i 0; run ii 643; run iii 1006; run iv 404, reported in meV/atom.

Run i
{
  "formula": "U2HN",
  "functional": "PBE-GGA",
  "state": "relaxed",
  "crystal_system": "trigonal",
  "dos_ef_per_ev_fu": 6.47,
  "lattice_angstrom": [[-0.3863, -2.1838, 2.2567], [2.0900, -2.3570, 0.2949], [4.0113, 2.0443, 4.8828]],
  "species": ["H", "U", "U", "N"],
  "frac_coords": [[0.5000, 0.5000, 0.5000], [0.7461, 0.7461, 0.7616], [0.2539, 0.2539, 0.2384], [0.0000, 0.0000, 0.0000]]
}

Run ii
{
  "formula": "U2HN",
  "functional": "PBE-GGA",
  "state": "relaxed",
  "crystal_system": "tetragonal",
  "dos_ef_per_ev_fu": 5.59,
  "lattice_angstrom": [[-0.6092, -2.7942, 0.1739], [2.0309, -0.5636, -1.9408], [3.9427, -0.5922, 4.2976]],
  "species": ["H", "U", "U", "N"],
  "frac_coords": [[0.5000, 0.5000, 0.5000], [0.0000, 0.0000, 0.7384], [0.0000, 0.0000, 0.2616], [0.5000, 0.5000, 0.0000]]
}

Energies relative to the most stable structure are run i 0; run ii 526, reported in meV/atom.